# TlRuW3, relaxed, DFT PBE
# ΔE_f = 1883 meV/atom
# Fermi-level density of states = 1.19 states/eV/atom
# calculated volume = 21.358 Å³/atom
# distance to the lowest polymorph of the same formula = 0.000 eV/atom
data_TlRuW3
_chemical_formula_sum 'Tl1 Ru1 W3'
_space_group_name_H-M_alt 'P 1'
_space_group_IT_number 1
_space_group_name_Hall 'P 1'
_cell_length_a 4.744
_cell_length_b 4.744
_cell_length_c 4.744
_cell_angle_alpha 90.00
_cell_angle_beta 90.00
_cell_angle_gamma 90.00
loop_
_atom_site_label
_atom_site_type_symbol
_atom_site_fract_x
_atom_site_fract_y
_atom_site_fract_z
_atom_site_occupancy
Tl1 Tl 0.500 0.500 0.500 1
W1 W 0.500 0.000 0.000 1
W2 W 0.000 0.000 0.500 1
W3 W 0.000 0.500 0.000 1
Ru1 Ru 0.000 0.000 0.000 1